## Hg3RhC (PBE-GGA)

Data for a relaxed Hg3RhC crystal.

a = 4.5487 Å, b = 4.5487 Å, c = 4.5487 Å
α = 90.00°, β = 90.00°, γ = 90.00°
With the nearest neighbours (Å) after each atom.
Fractional coordinates of all 5 atoms:
Rh  0.5000  0.5000  0.5000  12 Hg 3.22
C  0.0000  0.0000  0.0000  6 Hg 2.27
Hg  0.0000  0.5000  0.0000  2 C 2.27
Hg  0.0000  0.0000  0.5000  2 C 2.27
Hg  0.5000  0.0000  0.0000  2 C 2.27

Total energy, eV/atom: -2.247
ΔE to the lowest computed polymorph, kJ/mol of atoms: 0.0
Formation enthalpy at 0 K, kJ/mol of formula units: 603
SG: Pm-3m, No. 221
Spin magnetization, Bohr magnetons per cell: 0.00